Density functional theory data (PBE-GGA) for an optimized crystal structure of YScSb2Te.

The space group is P4/mmm (No. 123) and the conventional cell measures 5.431, 5.431 and 5.485 Å, with angles of 90.00, 90.00 and 90.00 degrees. The asymmetric unit holds Y at (0.000, 0.000, 0.000), Sc at (0.500, 0.500, 0.500), Sb at (0.000, 0.500, 0.500) and Te at (0.500, 0.500, 0.000).

=====

Density functional theory data (PBE-GGA) for an optimized crystal structure of ZrScSb2Te.

The space group is P4/mmm (No. 123) and the conventional cell measures 5.520, 5.520 and 5.508 Å, with angles of 90.00, 90.00 and 90.00 degrees. The asymmetric unit holds Zr at (0.000, 0.000, 0.000), Sc at (0.500, 0.500, 0.500), Sb at (0.000, 0.500, 0.000) and Te at (0.000, 0.000, 0.500).

=====

Density functional theory data (PBE-GGA) for an optimized crystal structure of Th3Sc2Sb4.

The space group is C2/m (No. 12) and the conventional cell measures 15.023, 4.313 and 9.827 Å, with angles of 90.00, 125.46 and 90.00 degrees. The asymmetric unit holds Th at (0.000, 0.000, 0.000), Th at (0.135, 0.500, 0.711), Sc at (0.183, 0.500, 0.361), Sb at (0.067, 0.000, 0.398) and Sb at (0.177, 0.500, 0.067).

=====

Density functional theory data (PBE-GGA) for an optimized crystal structure of ThSc2Sb.

The space group is Fm-3m (No. 225) and the conventional cell measures 7.286, 7.286 and 7.286 Å, with angles of 90.00, 90.00 and 90.00 degrees. The asymmetric unit holds Th at (0.000, 0.000, 0.000), Sc at (0.250, 0.250, 0.250) and Sb at (0.000, 0.000, 0.500).

=====

Density functional theory data (PBE-GGA) for an optimized crystal structure of ThSc2Sb.

The space group is P4/mmm (No. 123) and the conventional cell measures 3.761, 3.761 and 7.072 Å, with angles of 90.00, 90.00 and 90.00 degrees. The asymmetric unit holds Th at (0.000, 0.000, 0.000), Sc at (0.500, 0.500, 0.282) and Sb at (0.000, 0.000, 0.500).

=====

Density functional theory data (PBE-GGA) for an optimized crystal structure of ThSc2Sb.

The space group is P4/mmm (No. 123) and the conventional cell measures 4.749, 4.749 and 4.407 Å, with angles of 90.00, 90.00 and 90.00 degrees. The asymmetric unit holds Th at (0.000, 0.000, 0.000), Sc at (0.000, 0.500, 0.500) and Sb at (0.500, 0.500, 0.000).

=====

Density functional theory data (PBE-GGA) for an optimized crystal structure of ThScSb2.

The space group is R3m (No. 160, hexagonal axes) and the conventional cell measures 4.3123, 4.3123 and 22.0882 Å, with angles of 90.00, 90.00 and 120.00 degrees. The asymmetric unit holds Th at (0.0000, 0.0000, 0.0000), Sc at (0.0000, 0.0000, 0.8275), Sb at (0.0000, 0.0000, 0.4206) and Sb at (0.0000, 0.0000, 0.5753).

=====

Density functional theory data (PBE-GGA) for an optimized crystal structure of ThSc4Sb5.

The space group is Immm (No. 71) and the conventional cell measures 4.245, 6.068 and 21.083 Å, with angles of 90.00, 90.00 and 90.00 degrees. The asymmetric unit holds Th at (0.000, 0.000, 0.000), Sc at (0.000, 0.000, 0.206), Sc at (0.000, 0.000, 0.399), Sb at (0.000, 0.500, 0.000), Sb at (0.000, 0.500, 0.198) and Sb at (0.000, 0.500, 0.390).

=====

Density functional theory data (PBE-GGA) for an optimized crystal structure of Th12Sc5Sb3.

The space group is Ia-3d (No. 230) and the conventional cell measures 18.017, 18.017 and 18.017 Å, with angles of 90.00, 90.00 and 90.00 degrees. The asymmetric unit holds Th at (0.010, 0.071, 0.652), Sc at (0.000, 0.000, 0.000), Sc at (0.000, 0.250, 0.375) and Sb at (0.000, 0.250, 0.125).

=====

Density functional theory data (PBE-GGA) for an optimized crystal structure of ThSc2Sb2.

The space group is C2/c (No. 15) and the conventional cell measures 9.707, 11.826 and 5.946 Å, with angles of 90.00, 123.76 and 90.00 degrees. The asymmetric unit holds Th at (0.000, 0.102, 0.250), Sc at (0.181, 0.410, 0.978), Sb at (0.000, 0.191, 0.750) and Sb at (0.000, 0.377, 0.250).

=====

Density functional theory data (PBE-GGA) for an optimized crystal structure of ThSc3Sb3.

The space group is R-3 (No. 148, hexagonal axes) and the conventional cell measures 8.8232, 8.8232 and 17.7575 Å, with angles of 90.00, 90.00 and 120.00 degrees. The asymmetric unit holds Th at (0.0000, 0.0000, 0.1659), Sc at (0.0006, 0.7232, 0.4197) and Sb at (0.0014, 0.3686, 0.4132).

=====

Density functional theory data (PBE-GGA) for an optimized crystal structure of Th4ScSb5.

The space group is I4/mmm (No. 139) and the conventional cell measures 4.469, 4.469 and 31.358 Å, with angles of 90.00, 90.00 and 90.00 degrees. The asymmetric unit holds Th at (0.000, 0.000, 0.100), Th at (0.000, 0.000, 0.303), Sc at (0.000, 0.000, 0.500), Sb at (0.000, 0.000, 0.000), Sb at (0.000, 0.000, 0.201) and Sb at (0.000, 0.000, 0.406).

=====

Density functional theory data (PBE-GGA) for an optimized crystal structure of Th2ScSb2.

The space group is P4/mbm (No. 127) and the conventional cell measures 8.233, 8.233 and 4.276 Å, with angles of 90.00, 90.00 and 90.00 degrees. The asymmetric unit holds Th at (0.155, 0.345, 0.000), Sc at (0.000, 0.000, 0.500) and Sb at (0.149, 0.649, 0.500).

=====

Density functional theory data (PBE-GGA) for an optimized crystal structure of ThSc2Sb4.

The space group is Cmcm (No. 63) and the conventional cell measures 4.264, 11.132 and 16.181 Å, with angles of 90.00, 90.00 and 90.00 degrees. The asymmetric unit holds Th at (0.000, 0.082, 0.250), Sc at (0.000, 0.354, 0.075), Sb at (0.000, 0.000, 0.000), Sb at (0.000, 0.332, 0.611) and Sb at (0.000, 0.371, 0.250).

=====

Density functional theory data (PBE-GGA) for an optimized crystal structure of ThScSb2.

The space group is R-3m (No. 166, hexagonal axes) and the conventional cell measures 4.3688, 4.3688 and 20.9643 Å, with angles of 90.00, 90.00 and 120.00 degrees. The asymmetric unit holds Th at (0.0000, 0.0000, 0.0000), Sc at (0.0000, 0.0000, 0.5000) and Sb at (0.0000, 0.0000, 0.2416).

=====

Density functional theory data (PBE-GGA) for an optimized crystal structure of Th2ScSb2.

The space group is Ibam (No. 72) and the conventional cell measures 8.195, 12.090 and 6.282 Å, with angles of 90.00, 90.00 and 90.00 degrees. The asymmetric unit holds Th at (0.149, 0.143, 0.000), Sc at (0.000, 0.500, 0.250) and Sb at (0.237, 0.110, 0.500).

=====

Density functional theory data (PBE-GGA) for an optimized crystal structure of ThSc2Sb.

The space group is Cmcm (No. 63) and the conventional cell measures 3.915, 11.864 and 9.060 Å, with angles of 90.00, 90.00 and 90.00 degrees. The asymmetric unit holds Th at (0.000, 0.045, 0.250), Sc at (0.000, 0.363, 0.037) and Sb at (0.000, 0.234, 0.750).

=====

Density functional theory data (PBE-GGA) for an optimized crystal structure of Th5ScSb4.

The space group is C2/m (No. 12) and the conventional cell measures 18.411, 4.164 and 8.632 Å, with angles of 90.00, 100.51 and 90.00 degrees. The asymmetric unit holds Th at (0.000, 0.000, 0.000), Th at (0.169, 0.500, 0.298), Th at (0.181, 0.500, 0.859), Sc at (0.000, 0.000, 0.500), Sb at (0.006, 0.500, 0.734) and Sb at (0.160, 0.000, 0.570).

=====

Density functional theory data (PBE-GGA) for an optimized crystal structure of Th4ScSb5.

The space group is I4/m (No. 87) and the conventional cell measures 9.931, 9.931 and 6.322 Å, with angles of 90.00, 90.00 and 90.00 degrees. The asymmetric unit holds Th at (0.094, 0.696, 0.000), Sc at (0.000, 0.000, 0.500), Sb at (0.000, 0.000, 0.000) and Sb at (0.099, 0.715, 0.500).

=====

Density functional theory data (PBE-GGA) for an optimized crystal structure of ThScSb3.

The space group is Pbcm (No. 57) and the conventional cell measures 13.499, 6.318 and 6.499 Å, with angles of 90.00, 90.00 and 90.00 degrees. The asymmetric unit holds Th at (0.182, 0.007, 0.250), Sc at (0.411, 0.750, 0.000), Sb at (0.001, 0.750, 0.000), Sb at (0.254, 0.510, 0.250) and Sb at (0.420, 0.120, 0.250).

=====

VASP energy for the records above, in order: -5.068, -5.122, -6.492, -6.336, -6.520, -6.500, -6.311, -6.245, -5.927, -6.215, -6.245, -6.548, -6.598, -5.923, -6.419, -6.476, -6.582, -6.473, -6.552, -5.960 eV per atom
Uncorrected formation energy for the records above, in order: -22.38, 12.68, -75.20, -27.49, -45.24, -43.31, -78.31, -87.77, 70.02, -53.01, -67.95, -85.46, -69.01, -67.37, -88.76, -57.16, -51.18, -46.44, -85.83, -70.99 kJ per mole of atoms